# Nd7Sm2Er3

An optimized crystal structure of Nd7Sm2Er3 (PBE-GGA, the Alexandria database).

Cell and atoms, written as POSCAR:
```
Nd7Sm2Er3
1.0
5.901 0.000 0.000
0.000 3.642 0.000
-1.279 0.000 19.058
Nd Sm Er
7 2 3
Cartesian
0.000 0.000 0.000
0.800 1.821 3.459
0.840 1.821 10.201
0.842 0.000 16.309
3.780 0.000 2.749
3.782 1.821 8.856
3.822 1.821 15.599
0.851 1.821 13.381
3.771 1.821 5.677
0.805 0.000 7.021
2.951 1.821 0.000
3.817 0.000 12.036
```

Output
Its total energy is -4.620 eV per atom. The symmetry is P2/m. The value obtained for the density is 7.35 Mg/m³. For the total magnetic moment, the calculation gives 0.00 μB per cell. The calculation puts the relative energy among the computed polymorphs at 0 meV per atom. As for the formation energy: 0.088 eV per atom.